Record 1
The following is a PBE-GGA calculation of a geometry-optimized SrAuN structure, from the Alexandria database.

Unit cell a=4.2594 b=4.2594 c=8.8205 alpha=92.68 beta=92.68 gamma=57.72
Closest atoms and distances in Å follow each position.
Atoms (fractional coordinates):
Sr1 0.1513 0.1513 0.1848  1 N 2.52
Sr2 0.8487 0.8487 0.8152  1 N 2.52
Au1 0.1679 0.1679 0.5845  3 Au 2.85, 2 Sr 3.15
Au2 0.8321 0.8321 0.4155  3 Au 2.85, 2 Sr 3.15
N1 0.4309 0.4309 0.0362  1 N 1.24
N2 0.5691 0.5691 0.9638  1 N 1.24

Output
Raw formation energy ... -0.484 eV/atom
Calculated density ... 7.34 Mg/m³
E_tot ... -14.7 eV per formula unit

Record 2
The following is a PBE-GGA calculation of a geometry-optimized Sr12Au3N5 structure, from the Alexandria database.

Unit cell a=14.5515 b=14.5515 c=14.5515 alpha=109.47 beta=109.47 gamma=109.47
Closest atoms and distances in Å follow each position.
Atoms (fractional coordinates):
Sr1 0.0163 0.1979 0.1167  2 N 2.44-2.69
Sr2 0.0163 0.3184 0.8996  2 N 2.44-2.69
Sr3 0.0812 0.6979 0.6816  2 N 2.44-2.69
Sr4 0.0812 0.8833 0.3996  2 N 2.44-2.69
Sr5 0.1004 0.6167 0.4188  2 N 2.44-2.69
Sr6 0.1004 0.9837 0.6816  2 N 2.44-2.69
Sr7 0.1167 0.0163 0.1979  2 N 2.44-2.69
Sr8 0.1167 0.6004 0.9188  2 N 2.44-2.69
Sr9 0.1816 0.1979 0.5812  2 N 2.44-2.69
Sr10 0.1816 0.4837 0.6004  2 N 2.44-2.69
Sr11 0.1979 0.1167 0.0163  2 N 2.44-2.69
Sr12 0.1979 0.5812 0.1816  2 N 2.44-2.69
Sr13 0.3021 0.3184 0.9188  2 N 2.44-2.69
Sr14 0.3021 0.4837 0.3833  2 N 2.44-2.69
Sr15 0.3184 0.8996 0.0163  2 N 2.44-2.69
Sr16 0.3184 0.9188 0.3021  2 N 2.44-2.69
Sr17 0.3833 0.3021 0.4837  2 N 2.44-2.69
Sr18 0.3833 0.5812 0.8996  2 N 2.44-2.69
Sr19 0.3996 0.0812 0.8833  2 N 2.44-2.69
Sr20 0.3996 0.8184 0.5163  2 N 2.44-2.69
Sr21 0.4188 0.1004 0.6167  2 N 2.44-2.69
Sr22 0.4188 0.8184 0.8021  2 N 2.44-2.69
Sr23 0.4837 0.3833 0.3021  2 N 2.44-2.69
Sr24 0.4837 0.6004 0.1816  2 N 2.44-2.69
Sr25 0.5163 0.3996 0.8184  2 N 2.44-2.69
Sr26 0.5163 0.6167 0.6979  2 N 2.44-2.69
Sr27 0.5812 0.1816 0.1979  2 N 2.44-2.69
Sr28 0.5812 0.8996 0.3833  2 N 2.44-2.69
Sr29 0.6004 0.1816 0.4837  2 N 2.44-2.69
Sr30 0.6004 0.9188 0.1167  2 N 2.44-2.69
Sr31 0.6167 0.4188 0.1004  2 N 2.44-2.69
Sr32 0.6167 0.6979 0.5163  2 N 2.44-2.69
Sr33 0.6816 0.0812 0.6979  2 N 2.44-2.69
Sr34 0.6816 0.1004 0.9837  2 N 2.44-2.69
Sr35 0.6979 0.5163 0.6167  2 N 2.44-2.69
Sr36 0.6979 0.6816 0.0812  2 N 2.44-2.69
Sr37 0.8021 0.4188 0.8184  2 N 2.44-2.69
Sr38 0.8021 0.8833 0.9837  2 N 2.44-2.69
Sr39 0.8184 0.5163 0.3996  2 N 2.44-2.69
Sr40 0.8184 0.8021 0.4188  2 N 2.44-2.69
Sr41 0.8833 0.3996 0.0812  2 N 2.44-2.69
Sr42 0.8833 0.9837 0.8021  2 N 2.44-2.69
Sr43 0.8996 0.0163 0.3184  2 N 2.44-2.69
Sr44 0.8996 0.3833 0.5812  2 N 2.44-2.69
Sr45 0.9188 0.1167 0.6004  2 N 2.44-2.69
Sr46 0.9188 0.3021 0.3184  2 N 2.44-2.69
Sr47 0.9837 0.6816 0.1004  2 N 2.44-2.69
Sr48 0.9837 0.8021 0.8833  2 N 2.44-2.69
Au1 0.1250 0.2500 0.3750  8 Sr 3.25-3.45
Au2 0.1250 0.3750 0.7500  8 Sr 3.25-3.45
Au3 0.2500 0.3750 0.1250  8 Sr 3.25-3.45
Au4 0.2500 0.8750 0.6250  8 Sr 3.25-3.45
Au5 0.3750 0.1250 0.2500  8 Sr 3.25-3.45
Au6 0.3750 0.7500 0.1250  8 Sr 3.25-3.45
Au7 0.6250 0.2500 0.8750  8 Sr 3.25-3.45
Au8 0.6250 0.8750 0.7500  8 Sr 3.25-3.45
Au9 0.7500 0.1250 0.3750  8 Sr 3.25-3.45
Au10 0.7500 0.6250 0.8750  8 Sr 3.25-3.45
Au11 0.8750 0.6250 0.2500  8 Sr 3.25-3.45
Au12 0.8750 0.7500 0.6250  8 Sr 3.25-3.45
N1 0.0000 0.0000 0.0000  6 Sr 2.69
N2 0.0000 0.0000 0.5000  6 Sr 2.69
N3 0.0000 0.5000 0.0000  6 Sr 2.69
N4 0.0000 0.5000 0.5000  6 Sr 2.69
N5 0.1250 0.7500 0.8750  4 Sr 2.44
N6 0.1250 0.8750 0.2500  4 Sr 2.44
N7 0.2500 0.1250 0.8750  4 Sr 2.44
N8 0.2500 0.6250 0.3750  4 Sr 2.44
N9 0.3750 0.2500 0.6250  4 Sr 2.44
N10 0.3750 0.6250 0.7500  4 Sr 2.44
N11 0.5000 0.0000 0.0000  6 Sr 2.69
N12 0.5000 0.0000 0.5000  6 Sr 2.69
N13 0.5000 0.5000 0.0000  6 Sr 2.69
N14 0.5000 0.5000 0.5000  6 Sr 2.69
N15 0.6250 0.3750 0.2500  4 Sr 2.44
N16 0.6250 0.7500 0.3750  4 Sr 2.44
N17 0.7500 0.3750 0.6250  4 Sr 2.44
N18 0.7500 0.8750 0.1250  4 Sr 2.44
N19 0.8750 0.1250 0.7500  4 Sr 2.44
N20 0.8750 0.2500 0.1250  4 Sr 2.44

Output
Raw formation energy ... -0.504 eV/atom
Calculated density ... 4.80 Mg/m³
E_tot ... -81.7 eV per formula unit

Record 3
The following is a PBE-GGA calculation of a geometry-optimized Sr3AuN structure, from the Alexandria database.

Unit cell a=11.5478 b=11.5478 c=5.3767 alpha=103.45 beta=103.45 gamma=24.52
Closest atoms and distances in Å follow each position.
Atoms (fractional coordinates):
Sr1 0.0590 0.0590 0.3089  1 N 2.45
Sr2 0.1644 0.1644 0.9143  2 N 2.69-2.70
Sr3 0.3046 0.3046 0.5549  2 N 2.51
Sr4 0.6954 0.6954 0.4451  2 N 2.51
Sr5 0.8356 0.8356 0.0857  2 N 2.69-2.70
Sr6 0.9410 0.9410 0.6911  1 N 2.45
Au1 0.4385 0.4385 0.1878  8 Sr 3.33-3.64
Au2 0.5615 0.5615 0.8122  8 Sr 3.33-3.64
N1 0.1707 0.1707 0.4213  5 Sr 2.45-2.70
N2 0.8293 0.8293 0.5787  5 Sr 2.45-2.70

Output
Raw formation energy ... -0.512 eV/atom
Calculated density ... 5.44 Mg/m³
E_tot ... -19.2 eV per formula unit

> Which of these has the highest raw formation energy?

SrAuN